Computed, not measured: Li2VCrO4 after structural relaxation at the GGA-PBEsol level of DFT.

Lattice parameters (Å, degrees): 10.0966 5.8789 4.9350 90.00 108.76 90.00
Space group C2/c (No. 15)
Asymmetric unit:
Li: 0.2476 0.1269 0.2478 x8
V: 0.0000 0.3841 0.2500 x4
Cr: 0.0000 0.1209 0.7500 x4
O: 0.1126 0.1254 0.4887 x8
O: 0.1164 0.3677 0.9904 x8

Results
Density of states at the Fermi level (states/eV/cell): 7.703
Distance to the lowest polymorph of the same formula (meV/atom): 0.0
Spin magnetization (μB per formula unit): 4.89
Raw formation energy (meV per atom): -2133

Computed, not measured: Tl2InSe after structural relaxation at the GGA-PBEsol level of DFT.

Lattice parameters (Å, degrees): 3.8670 3.8670 25.8912 90.00 90.00 120.00
Space group R3m (No. 160, hexagonal axes)
Asymmetric unit:
Tl: 0.0000 0.0000 0.0000 x3
Tl: 0.0000 0.0000 0.2364 x3
In: 0.0000 0.0000 0.7575 x3
Se: 0.0000 0.0000 0.4870 x3

Results
Density of states at the Fermi level (states/eV/cell): 4.065
Distance to the lowest polymorph of the same formula (meV/atom): 0.0
Spin magnetization (μB per formula unit): 0.00
Raw formation energy (meV per atom): -205

Computed, not measured: TaMn2Cu after structural relaxation at the GGA-PBEsol level of DFT.

Lattice parameters (Å, degrees): 2.7613 2.7613 25.3435 90.00 90.00 120.00
Space group R-3m (No. 166, hexagonal axes)
Asymmetric unit:
Ta: 0.0000 0.0000 0.0000 x3
Mn: 0.0000 0.0000 0.2459 x6
Cu: 0.0000 0.0000 0.5000 x3

Results
Density of states at the Fermi level (states/eV/cell): 11.180
Spin magnetization (μB per formula unit): 5.68
DFT formation energy (eV per atom): 0.431

Computed, not measured: LaP2Os after structural relaxation at the GGA-PBEsol level of DFT.

Lattice parameters (Å, degrees): 3.0712 3.5704 6.4196 90.00 90.00 90.00
Space group Pmm2 (No. 25)
Asymmetric unit:
La: 0.0000 0.0000 0.0000 x1
P: 0.0000 0.0000 0.4970 x1
P: 0.5000 0.5000 0.7358 x1
Os: 0.5000 0.5000 0.3713 x1

Results
Density of states at the Fermi level (states/eV/cell): 2.959
Distance to the lowest polymorph of the same formula (meV/atom): 401.9
Spin magnetization (μB per formula unit): 0.00
DFT formation energy (eV per atom): -0.242

Computed, not measured: Zn2HgOs after structural relaxation at the GGA-PBEsol level of DFT.

Lattice parameters (Å, degrees): 2.7865 3.8495 5.7354 90.00 90.00 90.00
Space group Pmmm (No. 47)
Asymmetric unit:
Zn: 0.0000 0.0000 0.2158 x2
Hg: 0.5000 0.5000 0.5000 x1
Os: 0.5000 0.5000 0.0000 x1

Results
Density of states at the Fermi level (states/eV/cell): 2.309
Spin magnetization (μB per formula unit): 0.00
DFT formation energy (eV per atom): 0.295

Computed, not measured: Zr2NbCSe after structural relaxation at the GGA-PBEsol level of DFT.

Lattice parameters (Å, degrees): 5.0977 5.0977 3.9723 90.00 90.00 90.00
Space group P4/mmm (No. 123)
Asymmetric unit:
Zr: 0.0000 0.5000 0.0000 x2
Nb: 0.0000 0.0000 0.0000 x1
C: 0.0000 0.0000 0.5000 x1
Se: 0.5000 0.5000 0.5000 x1

Results
Density of states at the Fermi level (states/eV/cell): 4.501
Spin magnetization (μB per formula unit): 0.00
Raw formation energy (meV per atom): 819

Computed, not measured: Ta3GeSb after structural relaxation at the GGA-PBEsol level of DFT.

Lattice parameters (Å, degrees): 4.7162 4.7162 4.7162 90.00 90.00 90.00
Space group Pm-3m (No. 221)
Asymmetric unit:
Ta: 0.0000 0.0000 0.5000 x3
Ge: 0.0000 0.0000 0.0000 x1
Sb: 0.5000 0.5000 0.5000 x1

Results
Density of states at the Fermi level (states/eV/cell): 8.089
Spin magnetization (μB per formula unit): 0.00
Raw formation energy (meV per atom): 1070

Computed, not measured: TlIr after structural relaxation at the GGA-PBEsol level of DFT.

Lattice parameters (Å, degrees): 3.1818 4.4130 5.4401 90.00 107.10 90.00
Space group P2_1/m (No. 11)
Asymmetric unit:
Tl: 0.1516 0.2500 0.3044 x2
Ir: 0.4211 0.2500 0.8419 x2

Results
Density of states at the Fermi level (states/eV/cell): 2.197
Spin magnetization (μB per formula unit): 0.00
DFT formation energy (eV per atom): 0.545

Computed, not measured: In7Ag after structural relaxation at the GGA-PBEsol level of DFT.

Lattice parameters (Å, degrees): 9.1469 9.1469 9.1469 90.00 90.00 90.00
Space group Fm-3m (No. 225)
Asymmetric unit:
In: 0.0000 0.0000 0.0000 x4
In: 0.0000 0.2500 0.2500 x24
Ag: 0.0000 0.0000 0.5000 x4

Results
Density of states at the Fermi level (states/eV/cell): 13.257
Spin magnetization (μB per formula unit): 0.00
DFT formation energy (eV per atom): 0.033

Computed, not measured: CsFeAsBr2 after structural relaxation at the GGA-PBEsol level of DFT.

Lattice parameters (Å, degrees): 5.4400 5.4400 4.4929 90.00 90.00 90.00
Space group P4/mmm (No. 123)
Asymmetric unit:
Cs: 0.0000 0.0000 0.0000 x1
Fe: 0.5000 0.5000 0.5000 x1
As: 0.5000 0.5000 0.0000 x1
Br: 0.0000 0.5000 0.5000 x2

Results
Density of states at the Fermi level (states/eV/cell): 4.006
Spin magnetization (μB per formula unit): 1.95
Raw formation energy (meV per atom): -429

Computed, not measured: LiCa2Mn after structural relaxation at the GGA-PBEsol level of DFT.

Lattice parameters (Å, degrees): 3.5869 3.5869 30.5648 90.00 90.00 120.00
Space group R-3m (No. 166, hexagonal axes)
Asymmetric unit:
Li: 0.0000 0.0000 0.0000 x3
Ca: 0.0000 0.0000 0.2394 x6
Mn: 0.0000 0.0000 0.5000 x3

Results
Density of states at the Fermi level (states/eV/cell): 9.894
Spin magnetization (μB per formula unit): 3.54
DFT formation energy (eV per atom): 0.494

Computed, not measured: CuSbRu2 after structural relaxation at the GGA-PBEsol level of DFT.

Lattice parameters (Å, degrees): 2.9972 2.9972 23.4538 90.00 90.00 120.00
Space group R-3m (No. 166, hexagonal axes)
Asymmetric unit:
Cu: 0.0000 0.0000 0.0000 x3
Sb: 0.0000 0.0000 0.5000 x3
Ru: 0.0000 0.0000 0.2510 x6

Results
Density of states at the Fermi level (states/eV/cell): 8.707
Spin magnetization (μB per formula unit): 0.00
Raw formation energy (meV per atom): 453